# Na2MnCo, optimized geometry, DFT PBE-GGA
data_Na2MnCo
_chemical_formula_sum 'Na4 Mn2 Co2'
_space_group_name_H-M_alt 'P 1'
_space_group_IT_number 1
_cell_length_a 8.130
_cell_length_b 8.130
_cell_length_c 6.275
_cell_angle_alpha 49.62
_cell_angle_beta 49.62
_cell_angle_gamma 90.00
loop_
_space_group_symop_operation_xyz
'x,y,z'
loop_
_atom_site_label
_atom_site_fract_x
_atom_site_fract_y
_atom_site_fract_z
Na1 0.653 0.125 0.250
Na2 0.097 0.625 0.250
Na3 0.375 0.347 0.750
Na4 0.875 0.903 0.750
Mn1 0.500 0.500 0.000
Mn2 0.250 0.750 0.500
Co1 0.000 0.000 0.000
Co2 0.750 0.250 0.500
# * DFT formation energy: 0.96 eV per atom
# * relative energy among the computed polymorphs: 0.000 eV/atom
# * symmetry: I-42d
# * size of the total moment: 11.30 Bohr magnetons per cell

***

# Pm2Sm5Pb4, optimized geometry, DFT PBE-GGA
data_Pm2Sm5Pb4
_chemical_formula_sum 'Pm2 Sm5 Pb4'
_space_group_name_H-M_alt 'P 1'
_space_group_IT_number 1
_cell_length_a 3.574
_cell_length_b 7.577
_cell_length_c 13.846
_cell_angle_alpha 92.25
_cell_angle_beta 97.42
_cell_angle_gamma 90.00
loop_
_space_group_symop_operation_xyz
'x,y,z'
loop_
_atom_site_label
_atom_site_fract_x
_atom_site_fract_y
_atom_site_fract_z
Pm1 0.911 0.708 0.823
Pm2 0.089 0.292 0.177
Sm1 0.142 0.837 0.283
Sm2 0.858 0.163 0.717
Sm3 0.236 0.211 0.472
Sm4 0.500 0.000 0.000
Sm5 0.764 0.789 0.528
Pb1 0.675 0.498 0.349
Pb2 0.033 0.667 0.067
Pb3 0.325 0.502 0.651
Pb4 0.967 0.333 0.933
# * DFT formation energy: -0.14 eV per atom
# * symmetry: C2/m
# * size of the total moment: 0.00 Bohr magnetons per cell

***

# RbAgS2Cl, optimized geometry, DFT PBE-GGA
data_RbAgS2Cl
_chemical_formula_sum 'Rb1 Ag1 S2 Cl1'
_space_group_name_H-M_alt 'P 1'
_space_group_IT_number 1
_cell_length_a 4.867
_cell_length_b 4.867
_cell_length_c 5.712
_cell_angle_alpha 90.00
_cell_angle_beta 90.00
_cell_angle_gamma 90.00
loop_
_space_group_symop_operation_xyz
'x,y,z'
loop_
_atom_site_label
_atom_site_fract_x
_atom_site_fract_y
_atom_site_fract_z
S1 0.000 0.500 0.000
S2 0.500 0.000 0.000
Rb1 0.500 0.500 0.500
Ag1 0.000 0.000 0.000
Cl1 0.000 0.000 0.500
# * relative energy among the computed polymorphs: 0.000 eV/atom
# * symmetry: P4/mmm
# * size of the total moment: 1.24 Bohr magnetons per cell
# * raw formation energy: -0.22 eV per atom

***

# TaBeCd2, optimized geometry, DFT PBE-GGA
data_TaBeCd2
_chemical_formula_sum 'Ta1 Be1 Cd2'
_space_group_name_H-M_alt 'P 1'
_space_group_IT_number 1
_cell_length_a 9.537
_cell_length_b 9.537
_cell_length_c 9.537
_cell_angle_alpha 17.67
_cell_angle_beta 17.67
_cell_angle_gamma 17.67
loop_
_space_group_symop_operation_xyz
'x,y,z'
loop_
_atom_site_label
_atom_site_fract_x
_atom_site_fract_y
_atom_site_fract_z
Be1 0.750 0.750 0.750
Cd1 0.009 0.009 0.009
Cd2 0.491 0.491 0.491
Ta1 0.250 0.250 0.250
# * DFT formation energy: 0.47 eV per atom
# * symmetry: R-3m
# * size of the total moment: 0.00 Bohr magnetons per cell

***

- size of the total moment of number 3 (RbAgS2Cl)?
  1.24 Bohr magnetons per cell

***

What did the fourth record say?
# TaBeCd2, optimized geometry, DFT PBE-GGA
data_TaBeCd2
_chemical_formula_sum 'Ta1 Be1 Cd2'
_space_group_name_H-M_alt 'P 1'
_space_group_IT_number 1
_cell_length_a 9.537
_cell_length_b 9.537
_cell_length_c 9.537
_cell_angle_alpha 17.67
_cell_angle_beta 17.67
_cell_angle_gamma 17.67
loop_
_space_group_symop_operation_xyz
'x,y,z'
loop_
_atom_site_label
_atom_site_fract_x
_atom_site_fract_y
_atom_site_fract_z
Be1 0.750 0.750 0.750
Cd1 0.009 0.009 0.009
Cd2 0.491 0.491 0.491
Ta1 0.250 0.250 0.250
# * DFT formation energy: 0.47 eV per atom
# * symmetry: R-3m
# * size of the total moment: 0.00 Bohr magnetons per cell